Compound: Na2Pr3SmSe6
Source: Alexandria via LeMat-Bulk
Functional: PBE
Structure: relaxed

Structure (POSCAR):
```
Na2Pr3SmSe6
1.0
7.3508 0.0013 0.0030
-3.6725 6.3677 0.0030
-1.2241 -2.1195 6.9433
Se Pr Sm Na
6 3 1 2
direct
0.9183 0.5887 0.7550 Se
0.2457 0.2457 0.7506 Se
0.4113 0.0817 0.2450 Se
0.5887 0.9183 0.7550 Se
0.7543 0.7543 0.2494 Se
0.0817 0.4113 0.2450 Se
0.8306 0.1694 0.5000 Pr
0.1694 0.8306 0.5000 Pr
0.5000 0.5000 0.5000 Pr
0.0000 0.0000 0.0000 Sm
0.6659 0.3341 0.0000 Na
0.3341 0.6659 0.0000 Na
```

Values from the calculation:
Its raw formation energy is -1.73 eV/atom. As for the space-group type: C2/m.